## Y2BeOsW (PBE)

Data for a geometry-optimized Y2BeOsW structure.

a b c (Å): 5.3919 4.6782 5.3919
angles (deg): 90.00 90.00 90.00
Fractional coordinates of all 5 atoms:
Os 0.0000 0.5000 0.0000
W 0.0000 0.0000 0.0000
Be 0.5000 0.5000 0.5000
Y 0.0000 0.0000 0.5000
Y 0.5000 0.0000 0.0000

DFT total energy: -6.89 eV per atom
D(E_F): 5.74 states/eV/cell
Formation enthalpy at 0 K: 6.363 eV per formula unit

***

## ScTe3O (PBE)

Data for a geometry-optimized ScTe3O structure.

a b c (Å): 4.8392 4.8392 4.8392
angles (deg): 90.00 90.00 90.00
Fractional coordinates of all 5 atoms:
Te 0.5000 0.0000 0.0000
Te 0.0000 0.0000 0.5000
Te 0.0000 0.5000 0.0000
Sc 0.5000 0.5000 0.5000
O 0.0000 0.0000 0.0000

DFT total energy: -4.43 eV per atom
D(E_F): 2.12 states/eV/cell
Energy relative to the elements, uncorrected: -0.29 eV per atom
Relative energy among the computed polymorphs: 0 meV per atom

***

> Among the records above, which one has the lowest DFT total energy?

Y2BeOsW

***

Repeat the first record exactly.
## Y2BeOsW (PBE)

Data for a geometry-optimized Y2BeOsW structure.

a b c (Å): 5.3919 4.6782 5.3919
angles (deg): 90.00 90.00 90.00
Fractional coordinates of all 5 atoms:
Os 0.0000 0.5000 0.0000
W 0.0000 0.0000 0.0000
Be 0.5000 0.5000 0.5000
Y 0.0000 0.0000 0.5000
Y 0.5000 0.0000 0.0000

DFT total energy: -6.89 eV per atom
D(E_F): 5.74 states/eV/cell
Formation enthalpy at 0 K: 6.363 eV per formula unit

***

> What is the formula in the first record?

Y2BeOsW